A plane-wave DFT calculation with GGA-PBE was carried out for a relaxed Y2Ni2Pt crystal.

```
Y2Ni2Pt
1.0
3.9959 0.0000 1.7091
1.4044 4.5896 2.2423
0.1068 0.4664 5.2759
Y Ni Pt
2 2 1
Direct
0.2052 0.2948 0.2948
0.7948 0.7052 0.7052
0.5000 0.2754 0.7246
0.5000 0.7246 0.2754
0.0000 0.0000 0.0000
```

- Energy relative to the lowest polymorph listed for this composition: 0.00 eV per formula unit
- E_tot: -6.7944 eV/atom

=====

A plane-wave DFT calculation with GGA-PBE was carried out for a relaxed YNiPt crystal.

```
YNiPt
1.0
5.1240 0.0003 0.0002
3.9471 3.2679 -0.0030
1.1773 0.4272 3.2395
Pt Ni Y
1 1 1
Direct
0.6550 0.6550 0.3450
0.0125 0.0125 0.9875
0.3325 0.3325 0.6675
```

- E_tot: -6.6278 eV/atom

=====

A plane-wave DFT calculation with GGA-PBE was carried out for a relaxed YNiPt crystal.

```
YNiPt
1.0
0.0000 3.1785 3.1785
3.1785 0.0000 3.1785
3.1785 3.1785 0.0000
Ni Y Pt
1 1 1
Direct
0.5000 0.5000 0.5000
0.0000 0.0000 0.0000
0.2500 0.2500 0.2500
```

- E_tot: -6.5389 eV/atom

=====

A plane-wave DFT calculation with GGA-PBE was carried out for a relaxed YNiPt crystal.

```
YNiPt
1.0
5.2578 -0.1055 0.0515
-2.6469 4.5441 -0.0515
-2.4910 -1.5220 4.3745
Ni Pt Y
2 2 2
Direct
0.5000 0.0000 0.5000
0.0000 0.5000 0.5000
0.0000 0.5000 0.0000
0.5000 0.5000 0.5000
0.2500 0.1202 0.8702
0.7500 0.8798 0.1298
```

- E_tot: -6.9351 eV/atom

=====

A plane-wave DFT calculation with GGA-PBE was carried out for a relaxed Y4Ni3Pt crystal.

```
Y4Ni3Pt
1.0
-3.2272 1.2382 1.5404
-1.4627 -4.0312 0.1760
4.0756 -1.0687 9.3976
Y Ni Pt
4 3 1
Direct
0.5000 0.0000 0.6385
0.5000 0.5000 0.3650
0.0000 0.0000 0.1423
0.0000 0.5000 0.8555
0.0000 0.0000 0.4321
0.5000 0.0000 0.9187
0.0000 0.5000 0.5701
0.5000 0.5000 0.0777
```

- E_tot: -6.7944 eV/atom

=====

A plane-wave DFT calculation with GGA-PBE was carried out for a relaxed Y5Ni2Pt crystal.

```
Y5Ni2Pt
1.0
6.4560 0.0000 -3.0476
-1.4386 6.2936 -3.0476
0.2548 0.3197 8.9018
Y Ni Pt
10 4 2
Direct
0.3174 0.8174 0.2890
0.0000 0.0000 0.0000
0.8174 0.9716 0.2890
0.4716 0.3174 0.2890
0.0284 0.5284 0.7110
0.5284 0.6826 0.7110
0.6826 0.1826 0.7110
0.5000 0.5000 0.0000
0.1826 0.0284 0.7110
0.9716 0.4716 0.2890
0.1204 0.3796 0.0000
0.8796 0.6204 0.0000
0.3796 0.8796 0.0000
0.6204 0.1204 0.0000
0.7500 0.7500 0.5000
0.2500 0.2500 0.5000
```

- E_tot: -6.7840 eV/atom

=====

A plane-wave DFT calculation with GGA-PBE was carried out for a relaxed YZnNiPt crystal.

```
YZnNiPt
1.0
-1.4822 4.1408 -1.3494
-4.4970 0.7424 -0.6243
-2.3176 2.6817 2.9328
Zn Y Pt Ni
1 1 1 1
Direct
0.5000 0.5000 0.5000
0.0000 0.0000 0.0000
0.7500 0.7500 0.7500
0.2500 0.2500 0.2500
```

- E_tot: -5.4600 eV/atom

=====

A plane-wave DFT calculation with GGA-PBE was carried out for a relaxed Y2ZnNi2Pt5 crystal.

```
Y2ZnNi2Pt5
1.0
3.9363 0.0000 0.0000
0.0000 9.2242 0.0000
0.0000 0.0000 9.2242
Y Pt Ni Zn
4 10 4 2
Direct
0.0000 0.3250 0.8250
0.0000 0.8250 0.6750
0.0000 0.6750 0.1750
0.0000 0.1750 0.3250
0.5000 0.2048 0.0677
0.5000 0.5000 0.0000
0.5000 0.4323 0.2952
0.5000 0.7952 0.9323
0.5000 0.0000 0.5000
0.5000 0.7048 0.4323
0.5000 0.9323 0.2048
0.5000 0.5677 0.7048
0.5000 0.0677 0.7952
0.5000 0.2952 0.5677
0.0000 0.6229 0.8771
0.0000 0.8771 0.3771
0.0000 0.1229 0.6229
0.0000 0.3771 0.1229
0.0000 0.0000 0.0000
0.0000 0.5000 0.5000
```

- E_tot: -6.3898 eV/atom

=====

A plane-wave DFT calculation with GGA-PBE was carried out for a relaxed Zn2NiPt crystal.

```
Zn2NiPt
1.0
2.7553 0.0000 0.0000
0.0000 3.7165 0.0000
0.0000 0.0000 5.3515
Ni Zn Pt
1 2 1
Direct
0.0000 0.0000 0.4794
0.5000 0.5000 0.2696
0.0000 0.0000 0.9938
0.5000 0.5000 0.7572
```

- E_tot: -3.8785 eV/atom

=====

A plane-wave DFT calculation with GGA-PBE was carried out for a relaxed Zn2NiPt crystal.

```
Zn2NiPt
1.0
-5.6705 6.2304 2.3427
-6.3212 6.0337 -0.3114
-7.4502 4.3226 1.5064
Pt Zn Ni
1 2 1
Direct
0.7522 0.7522 0.7522
0.2441 0.2441 0.2441
0.0009 0.0009 0.0009
0.5027 0.5027 0.5027
```

- E_tot: -3.7572 eV/atom

=====

A plane-wave DFT calculation with GGA-PBE was carried out for a relaxed Zn2NiPt crystal.

```
Zn2NiPt
1.0
-2.8112 -0.9375 3.1505
2.1625 -0.4816 1.7863
-0.0564 4.2480 1.2137
Zn Ni Pt
2 1 1
Direct
0.5000 0.1250 0.3303
0.0000 0.1250 0.9255
0.0000 0.6249 0.4199
0.5000 0.6251 0.8244
```

- E_tot: -3.9531 eV/atom

=====

A plane-wave DFT calculation with GGA-PBE was carried out for a relaxed ZnNiPt2 crystal.

```
ZnNiPt2
1.0
-4.3966 -1.7981 2.1028
-0.0851 -0.5807 5.1615
0.4220 3.1429 -4.1146
Ni Pt Zn
1 2 1
Direct
0.2500 0.7500 0.5000
0.4992 0.4992 0.0000
0.0008 0.0008 0.0000
0.7500 0.2500 0.5000
```

- E_tot: -4.9829 eV/atom